# 1
DFT (PBE) results for Tc3Sb4 after structural relaxation.

Fermi-level density of states (states/eV per cell): 5.56

```
data_Tc3Sb4
_cell_length_a 5.2501
_cell_length_b 5.2501
_cell_length_c 6.1731
_cell_angle_alpha 90.00
_cell_angle_beta 90.00
_cell_angle_gamma 120.00
_space_group_name_H-M_alt 'P 6/m m m'
_space_group_IT_number 191
_space_group_name_Hall '-P 6 2'
loop_
_atom_site_label
_atom_site_type_symbol
_atom_site_fract_x
_atom_site_fract_y
_atom_site_fract_z
Tc1 Tc 0.0000 0.5000 0.0000
Sb1 Sb 0.0000 0.0000 0.2374
Sb2 Sb 0.3333 0.6667 0.5000
```


# 2
DFT (PBE) results for Tc3Sb4 after structural relaxation.

Fermi-level density of states (states/eV per cell): 6.06

```
data_Tc3Sb4
_cell_length_a 14.020
_cell_length_b 3.396
_cell_length_c 6.796
_cell_angle_alpha 90.00
_cell_angle_beta 112.62
_cell_angle_gamma 90.00
_space_group_name_H-M_alt 'C 1 2/m 1'
_space_group_IT_number 12
_space_group_name_Hall '-C 2y'
loop_
_atom_site_label
_atom_site_type_symbol
_atom_site_fract_x
_atom_site_fract_y
_atom_site_fract_z
Tc1 Tc 0.000 0.000 0.000
Tc2 Tc 0.249 0.500 0.692
Sb1 Sb 0.099 0.500 0.319
Sb2 Sb 0.153 0.000 0.862
```


# 3
DFT (PBE) results for TcSb2 after structural relaxation.

Fermi-level density of states (states/eV per cell): 5.82

```
data_TcSb2
_cell_length_a 14.104
_cell_length_b 3.316
_cell_length_c 6.575
_cell_angle_alpha 90.00
_cell_angle_beta 117.46
_cell_angle_gamma 90.00
_space_group_name_H-M_alt 'C 1 2/m 1'
_space_group_IT_number 12
_space_group_name_Hall '-C 2y'
loop_
_atom_site_label
_atom_site_type_symbol
_atom_site_fract_x
_atom_site_fract_y
_atom_site_fract_z
Tc1 Tc 0.241 0.000 0.309
Sb1 Sb 0.085 0.500 0.277
Sb2 Sb 0.144 0.000 0.833
```


# 4
DFT (PBE) results for Tc3Sb after structural relaxation.

Fermi-level density of states (states/eV per cell): 9.03

```
data_Tc3Sb
_cell_length_a 5.323
_cell_length_b 8.101
_cell_length_c 2.988
_cell_angle_alpha 90.00
_cell_angle_beta 90.00
_cell_angle_gamma 90.00
_space_group_name_H-M_alt 'C m m m'
_space_group_IT_number 65
_space_group_name_Hall '-C 2 2'
loop_
_atom_site_label
_atom_site_type_symbol
_atom_site_fract_x
_atom_site_fract_y
_atom_site_fract_z
Tc1 Tc 0.000 0.000 0.000
Tc2 Tc 0.250 0.250 0.500
Sb1 Sb 0.000 0.500 0.000
```


no.,energy relative to the lowest polymorph listed for this composition (eV per atom),ΔE_f (raw) (kJ/mol of atoms)
1,0.558,52.07
2,0.000,-1.76
3,0.000,-1.71
4,0.152,33.64